(1)
# BaAcPr

BaAcPr after structural relaxation (PBE-GGA, the Open Quantum Materials Database).

Lattice parameters (Å, degrees): 8.6191 8.6191 8.6191 90.00 90.00 90.00
With the nearest neighbours (Å) after each atom.
Space group F-43m (No. 216)
Asymmetric unit:
Ba: 0.0000 0.0000 0.0000  4 Pr 3.73
Ac: 0.0000 0.0000 0.5000  4 Pr 3.73
Pr: 0.2500 0.2500 0.7500  4 Ba 3.73, 4 Ac 3.73

Values from the calculation:
Energy above the lowest structure with this stoichiometry = 0.000 eV/atom


(2)
# NpCuGe

NpCuGe after structural relaxation (PBE-GGA, the Open Quantum Materials Database).

Lattice parameters (Å, degrees): 6.2579 6.2579 6.2579 90.00 90.00 90.00
With the nearest neighbours (Å) after each atom.
Space group F-43m (No. 216)
Asymmetric unit:
Np: 0.0000 0.0000 0.0000  4 Cu 2.71
Cu: 0.2500 0.2500 0.7500  4 Ge 2.71, 4 Np 2.71
Ge: 0.0000 0.0000 0.5000  4 Cu 2.71


(3)
# LaErNi8B2

LaErNi8B2 after structural relaxation (PBE-GGA, the Open Quantum Materials Database).

Lattice parameters (Å, degrees): 5.0199 5.0199 7.0219 90.00 90.00 120.00
With the nearest neighbours (Å) after each atom.
Space group P6/mmm (No. 191)
Asymmetric unit:
La: 0.0000 0.0000 0.0000  6 Ni 2.90
Er: 0.0000 0.0000 0.5000  12 Ni 2.89, 6 B 2.90
Ni: 0.0000 0.5000 0.2968  2 B 2.03
Ni: 0.3333 0.6667 0.0000  6 Ni 2.54
B: 0.3333 0.6667 0.5000  6 Ni 2.03

Values from the calculation:
Energy above the lowest structure with this stoichiometry = 0.000 eV/atom


(4)
# SmTlTe3Pb

SmTlTe3Pb after structural relaxation (PBE-GGA, the Open Quantum Materials Database).

Lattice parameters (Å, degrees): 4.6673 15.2898 12.0754 90.00 90.00 90.00
With the nearest neighbours (Å) after each atom.
Space group Cmcm (No. 63)
Asymmetric unit:
Sm: 0.0000 0.0000 0.0000  6 Te 3.21-3.32
Tl: 0.0000 0.2486 0.2500  4 Te 3.40-3.78
Te: 0.0000 0.0898 0.7500  2 Pb 3.07, 2 Sm 3.32, 2 Tl 3.40
Te: 0.0000 0.3580 0.5306  1 Pb 3.07, 2 Sm 3.21
Pb: 0.0000 0.4592 0.7500  4 Te 3.07


| no. | energy (eV per cell) |
| --- | --- |
| 1 | -35.051 |
| 2 | -83.933 |
| 3 | -73.212 |
| 4 | -96.537 |